The following is a PBE with a Hubbard U calculation of crystalline Sr2ScFe2O6 at its relaxed geometry, from Alexandria. Values from VASP.

Quantum ESPRESSO input file:
```
&SYSTEM
  ibrav = 0, nat = 11, ntyp = 4
/
ATOMIC_SPECIES
O 16.00 O.upf
Fe 55.84 Fe.upf
Sc 44.96 Sc.upf
Sr 87.62 Sr.upf
CELL_PARAMETERS angstrom
5.9648 0.0000 0.0000
2.9824 5.1657 0.0000
2.9824 1.7219 5.4551
ATOMIC_POSITIONS angstrom
O 7.5579 4.3636 1.3868
Fe 5.9648 3.4438 3.9903
O 4.3717 2.5240 4.0683
O 7.5579 2.5240 4.0683
O 4.3717 4.3636 1.3868
Fe 5.9648 3.4438 1.4648
O 5.9648 5.2833 4.0683
Sc 0.0000 0.0000 0.0000
O 5.9648 1.6042 1.3868
Sr 2.9824 1.7219 2.0963
Sr 8.9472 5.1657 3.3589
```

Computed properties:
- Total energy: -0.506 Ry/atom